[1]
Below is a geometry-optimized ThSiRhC structure, with properties calculated at the PBE level.

abc: 3.9710 3.9710 8.4440
angles: 90.00 90.00 90.00
Last column: nearest neighbours and their distance in Å.
Sites, in units of the cell vectors:
Th: 0.2500 0.2500 0.1593  1 C 2.42
Th: 0.7500 0.7500 0.8407  1 C 2.42
Si: 0.2500 0.2500 0.6541  1 C 1.85
Si: 0.7500 0.7500 0.3459  1 C 1.85
Rh: 0.2500 0.7500 0.5000  4 Si 2.37
Rh: 0.7500 0.2500 0.5000  4 Si 2.37
C: 0.2500 0.2500 0.8733  1 Si 1.85
C: 0.7500 0.7500 0.1267  1 Si 1.85

Computed properties:
Crystal system: tetragonal

---

[2]
Below is a geometry-optimized TiSi2RhC structure, with properties calculated at the PBE level.

abc: 4.2086 4.2086 3.8532
angles: 90.00 90.00 90.00
Last column: nearest neighbours and their distance in Å.
Sites, in units of the cell vectors:
Ti: 0.0000 0.0000 0.0000  8 Si 2.85, 4 Rh 2.98
Si: 0.0000 0.5000 0.5000  2 C 2.10
Si: 0.5000 0.0000 0.5000  2 C 2.10
Rh: 0.5000 0.5000 0.0000  2 C 1.93
C: 0.5000 0.5000 0.5000  2 Rh 1.93, 4 Si 2.10

Computed properties:
Crystal system: tetragonal

---

These records have energy relative to the elements, uncorrected values of -0.778, 0.406 eV per atom, in the order they appear.